No. 1
Crystalline Pr2Ho4Tm5 at its relaxed geometry. Source: Alexandria, functional PBE-GGA.

The structure in POSCAR format:
```
Pr2Ho4Tm5
1.0
3.507 -0.494 -0.045
-2.343 8.860 -1.920
1.878 -0.521 11.581
Ho Tm Pr
4 5 2
Direct
0.686 0.640 0.906
0.228 0.546 0.635
0.314 0.360 0.094
0.772 0.454 0.365
0.044 0.907 0.726
0.590 0.819 0.457
0.500 0.000 0.000
0.956 0.093 0.274
0.410 0.181 0.543
0.136 0.729 0.183
0.864 0.271 0.817
```

## Properties
Offset from the most stable computed form (kJ/mol of formula units): 0
Uncorrected energy (eV per atom): -4.543
DFT formation energy (eV/atom): 0.0235
Symmetry: No. 2
Magnetic moment (Bohr magnetons per cell): 0.00

No. 2
Crystalline Pr5Ho4Tm3 at its relaxed geometry. Source: Alexandria, functional PBE-GGA.

The structure in POSCAR format:
```
Pr5Ho4Tm3
1.0
5.800 0.000 0.000
2.900 5.922 -2.224
2.900 -1.118 12.020
Tm Pr Ho
3 5 4
Direct
0.000 0.500 0.500
0.348 0.908 0.396
0.652 0.092 0.604
0.509 0.890 0.091
0.491 0.110 0.909
0.884 0.468 0.765
0.500 0.500 0.500
0.116 0.532 0.235
0.801 0.347 0.052
0.199 0.653 0.948
0.823 0.098 0.255
0.177 0.902 0.745
```

## Properties
Uncorrected energy (eV per atom): -4.377
DFT formation energy (eV/atom): 0.2580
Symmetry: No. 12
Magnetic moment (Bohr magnetons per cell): 0.00

No. 3
Crystalline Pr2Ho6Tm3 at its relaxed geometry. Source: Alexandria, functional PBE-GGA.

The structure in POSCAR format:
```
Pr2Ho6Tm3
1.0
5.822 0.000 1.740
2.911 5.268 0.870
-1.336 0.000 11.606
Ho Tm Pr
6 3 2
Direct
0.082 0.333 0.756
0.415 0.667 0.756
0.251 0.000 0.245
0.749 0.000 0.755
0.585 0.333 0.244
0.918 0.667 0.244
0.000 0.000 0.000
0.665 0.669 0.000
0.335 0.331 0.000
0.167 0.666 0.500
0.833 0.334 0.500
```

## Properties
Offset from the most stable computed form (kJ/mol of formula units): 0
Uncorrected energy (eV per atom): -4.403
DFT formation energy (eV/atom): 0.1823
Symmetry: No. 12
Magnetic moment (Bohr magnetons per cell): 0.00

No. 4
Crystalline Pr2Ho3Tm5 at its relaxed geometry. Source: Alexandria, functional PBE-GGA.

The structure in POSCAR format:
```
Pr2Ho3Tm5
1.0
6.733 0.000 0.000
3.366 11.444 2.826
3.366 5.762 10.284
Tm Pr Ho
10 4 6
Direct
0.250 0.500 0.500
0.503 0.747 0.747
0.376 0.709 0.539
0.876 0.539 0.709
0.497 0.253 0.253
0.003 0.747 0.747
0.997 0.253 0.253
0.624 0.291 0.461
0.124 0.461 0.291
0.750 0.500 0.500
0.374 0.021 0.231
0.126 0.769 0.979
0.874 0.231 0.021
0.626 0.979 0.769
0.373 0.378 0.876
0.750 0.000 0.000
0.127 0.124 0.622
0.627 0.622 0.124
0.250 0.000 0.000
0.873 0.876 0.378
```

## Properties
Offset from the most stable computed form (kJ/mol of formula units): 222
Uncorrected energy (eV per atom): -4.140
DFT formation energy (eV/atom): 0.4251
Symmetry: No. 72
Magnetic moment (Bohr magnetons per cell): 0.00

No. 5
Crystalline PrHo3Tm2 at its relaxed geometry. Source: Alexandria, functional PBE-GGA.

The structure in POSCAR format:
```
PrHo3Tm2
1.0
6.895 -1.135 -1.439
-4.080 9.267 -0.383
-2.143 0.693 6.762
Tm Ho Pr
4 6 2
Direct
0.698 0.336 0.139
0.302 0.664 0.861
0.302 0.663 0.360
0.698 0.337 0.640
0.197 0.337 0.139
0.251 0.001 0.751
0.803 0.663 0.861
0.197 0.336 0.639
0.803 0.664 0.361
0.749 0.999 0.249
0.252 0.001 0.250
0.748 0.999 0.750
```

## Properties
Offset from the most stable computed form (kJ/mol of formula units): 0
Uncorrected energy (eV per atom): -4.578
DFT formation energy (eV/atom): -0.0016
Symmetry: No. 2
Magnetic moment (Bohr magnetons per cell): 0.00

No. 6
Crystalline Pr4Ho5Tm3 at its relaxed geometry. Source: Alexandria, functional PBE-GGA.

The structure in POSCAR format:
```
Pr4Ho5Tm3
1.0
-3.560 4.301 -1.993
1.597 1.563 -8.297
-9.074 -3.315 0.239
Pr Ho Tm
4 5 3
Direct
0.835 0.948 0.383
0.863 0.223 0.051
0.165 0.052 0.617
0.137 0.777 0.949
0.790 0.540 0.880
0.635 0.934 0.796
0.500 0.500 0.500
0.365 0.066 0.204
0.210 0.460 0.120
0.000 0.500 0.500
0.525 0.690 0.261
0.475 0.310 0.739
```

## Properties
Uncorrected energy (eV per atom): -4.388
DFT formation energy (eV/atom): 0.2300
Symmetry: No. 12
Magnetic moment (Bohr magnetons per cell): 0.58